Entry 1:
# BaCa2CdTe4, relaxed, DFT PBE-GGA
# **Calculated volume**: 35.64 Å³/atom
# **Calculated total energy**: -3.748 eV/atom
# **Magnetization**: 0.00 μB per formula unit
# **Energy relative to the elements, uncorrected**: -1.322 eV/atom
data_BaCa2CdTe4
_chemical_formula_sum 'Ba2 Ca4 Cd2 Te8'
_symmetry_space_group_name_H-M 'P 1'
_symmetry_Int_Tables_number 1
_cell_length_a 8.087
_cell_length_b 8.087
_cell_length_c 15.965
_cell_angle_alpha 90.00
_cell_angle_beta 90.00
_cell_angle_gamma 146.90
loop_
_symmetry_equiv_pos_as_xyz
'x,y,z'
loop_
_atom_site_label
_atom_site_type_symbol
_atom_site_fract_x
_atom_site_fract_y
_atom_site_fract_z
Ba1 Ba 0.129 0.871 0.750
Ba2 Ba 0.871 0.129 0.250
Ca1 Ca 0.375 0.625 0.557
Ca2 Ca 0.375 0.625 0.943
Ca3 Ca 0.625 0.375 0.057
Ca4 Ca 0.625 0.375 0.443
Cd1 Cd 0.150 0.850 0.250
Cd2 Cd 0.850 0.150 0.750
Te1 Te 0.000 0.000 0.000
Te2 Te 0.000 0.000 0.500
Te3 Te 0.266 0.734 0.114
Te4 Te 0.266 0.734 0.386
Te5 Te 0.457 0.543 0.750
Te6 Te 0.543 0.457 0.250
Te7 Te 0.734 0.266 0.614
Te8 Te 0.734 0.266 0.886

Entry 2:
# BaCaTi2Cd, relaxed, DFT PBE-GGA
# **Calculated volume**: 29.42 Å³/atom
# **Calculated total energy**: -2.659 eV/atom
# **ΔE_f**: 1.467 eV/atom
# **Magnetization**: 1.44 μB per formula unit
data_BaCaTi2Cd
_chemical_formula_sum 'Ba1 Ca1 Ti2 Cd1'
_symmetry_space_group_name_H-M 'P 1'
_symmetry_Int_Tables_number 1
_cell_length_a 5.069
_cell_length_b 5.069
_cell_length_c 5.724
_cell_angle_alpha 90.00
_cell_angle_beta 90.00
_cell_angle_gamma 90.00
loop_
_symmetry_equiv_pos_as_xyz
'x,y,z'
loop_
_atom_site_label
_atom_site_type_symbol
_atom_site_fract_x
_atom_site_fract_y
_atom_site_fract_z
Ba1 Ba 0.000 0.000 0.000
Ca1 Ca 0.000 0.000 0.500
Ti1 Ti 0.000 0.500 0.000
Ti2 Ti 0.500 0.000 0.000
Cd1 Cd 0.500 0.500 0.500

Entry 3:
# BaCaTlCd, relaxed, DFT PBE-GGA
# **Calculated volume**: 34.12 Å³/atom
# **Calculated total energy**: -2.162 eV/atom
# **ΔE_f**: -0.361 eV/atom
# **Magnetization**: 0.00 μB per formula unit
data_BaCaTlCd
_chemical_formula_sum 'Ba1 Ca1 Tl1 Cd1'
_symmetry_space_group_name_H-M 'P 1'
_symmetry_Int_Tables_number 1
_cell_length_a 5.779
_cell_length_b 5.779
_cell_length_c 5.779
_cell_angle_alpha 60.00
_cell_angle_beta 60.00
_cell_angle_gamma 60.00
loop_
_symmetry_equiv_pos_as_xyz
'x,y,z'
loop_
_atom_site_label
_atom_site_type_symbol
_atom_site_fract_x
_atom_site_fract_y
_atom_site_fract_z
Ba1 Ba 0.000 0.000 0.000
Ca1 Ca 0.500 0.500 0.500
Tl1 Tl 0.250 0.250 0.250
Cd1 Cd 0.750 0.750 0.750

Entry 4:
# Ba2CaTl6Cd, relaxed, DFT PBE-GGA
# **Calculated volume**: 38.44 Å³/atom
# **Calculated total energy**: -2.186 eV/atom
# **ΔE_f**: -0.090 eV/atom
# **Magnetization**: 0.00 μB per formula unit
data_Ba2CaTl6Cd
_chemical_formula_sum 'Ba2 Ca1 Tl6 Cd1'
_symmetry_space_group_name_H-M 'P 1'
_symmetry_Int_Tables_number 1
_cell_length_a 8.162
_cell_length_b 8.162
_cell_length_c 8.162
_cell_angle_alpha 60.00
_cell_angle_beta 60.00
_cell_angle_gamma 60.00
loop_
_symmetry_equiv_pos_as_xyz
'x,y,z'
loop_
_atom_site_label
_atom_site_type_symbol
_atom_site_fract_x
_atom_site_fract_y
_atom_site_fract_z
Ba1 Ba 0.250 0.250 0.250
Ba2 Ba 0.750 0.750 0.750
Ca1 Ca 0.000 0.000 0.000
Tl1 Tl 0.256 0.256 0.744
Tl2 Tl 0.256 0.744 0.256
Tl3 Tl 0.256 0.744 0.744
Tl4 Tl 0.744 0.256 0.256
Tl5 Tl 0.744 0.256 0.744
Tl6 Tl 0.744 0.744 0.256
Cd1 Cd 0.500 0.500 0.500

Entry 5:
# Ba2CaTl12Cd3, relaxed, DFT PBE-GGA
# **Calculated volume**: 33.58 Å³/atom
# **Calculated total energy**: -2.103 eV/atom
# **ΔE_f**: -0.048 eV/atom
# **Magnetization**: 0.00 μB per formula unit
data_Ba2CaTl12Cd3
_chemical_formula_sum 'Ba2 Ca1 Tl12 Cd3'
_symmetry_space_group_name_H-M 'P 1'
_symmetry_Int_Tables_number 1
_cell_length_a 14.928
_cell_length_b 14.928
_cell_length_c 14.928
_cell_angle_alpha 26.99
_cell_angle_beta 26.99
_cell_angle_gamma 26.99
loop_
_symmetry_equiv_pos_as_xyz
'x,y,z'
loop_
_atom_site_label
_atom_site_type_symbol
_atom_site_fract_x
_atom_site_fract_y
_atom_site_fract_z
Ba1 Ba 0.139 0.139 0.139
Ba2 Ba 0.861 0.861 0.861
Ca1 Ca 0.500 0.500 0.500
Tl1 Tl 0.101 0.616 0.616
Tl2 Tl 0.103 0.103 0.638
Tl3 Tl 0.103 0.638 0.103
Tl4 Tl 0.362 0.897 0.897
Tl5 Tl 0.384 0.384 0.899
Tl6 Tl 0.384 0.899 0.384
Tl7 Tl 0.616 0.101 0.616
Tl8 Tl 0.616 0.616 0.101
Tl9 Tl 0.638 0.103 0.103
Tl10 Tl 0.897 0.362 0.897
Tl11 Tl 0.897 0.897 0.362
Tl12 Tl 0.899 0.384 0.384
Cd1 Cd 0.000 0.500 0.500
Cd2 Cd 0.500 0.000 0.500
Cd3 Cd 0.500 0.500 0.000

Entry 6:
# BaCa2Tl2Cd2, relaxed, DFT PBE-GGA
# **Calculated volume**: 33.09 Å³/atom
# **Calculated total energy**: -2.097 eV/atom
# **ΔE_f**: -0.313 eV/atom
# **Magnetization**: 0.00 μB per formula unit
data_BaCa2Tl2Cd2
_chemical_formula_sum 'Ba1 Ca2 Tl2 Cd2'
_symmetry_space_group_name_H-M 'P 1'
_symmetry_Int_Tables_number 1
_cell_length_a 10.564
_cell_length_b 10.564
_cell_length_c 10.564
_cell_angle_alpha 28.14
_cell_angle_beta 28.14
_cell_angle_gamma 28.14
loop_
_symmetry_equiv_pos_as_xyz
'x,y,z'
loop_
_atom_site_label
_atom_site_type_symbol
_atom_site_fract_x
_atom_site_fract_y
_atom_site_fract_z
Ba1 Ba 0.000 0.000 0.000
Ca1 Ca 0.130 0.130 0.130
Ca2 Ca 0.870 0.870 0.870
Tl1 Tl 0.248 0.248 0.248
Tl2 Tl 0.752 0.752 0.752
Cd1 Cd 0.412 0.412 0.412
Cd2 Cd 0.588 0.588 0.588

Entry 7:
# Ba2CaCdW, relaxed, DFT PBE-GGA
# **Calculated volume**: 41.45 Å³/atom
# **Calculated total energy**: -2.558 eV/atom
# **ΔE_f**: 1.385 eV/atom
# **Magnetization**: 1.45 μB per formula unit
data_Ba2CaCdW
_chemical_formula_sum 'Ba2 Ca1 Cd1 W1'
_symmetry_space_group_name_H-M 'P 1'
_symmetry_Int_Tables_number 1
_cell_length_a 6.449
_cell_length_b 6.449
_cell_length_c 4.984
_cell_angle_alpha 90.00
_cell_angle_beta 90.00
_cell_angle_gamma 90.00
loop_
_symmetry_equiv_pos_as_xyz
'x,y,z'
loop_
_atom_site_label
_atom_site_type_symbol
_atom_site_fract_x
_atom_site_fract_y
_atom_site_fract_z
Ba1 Ba 0.000 0.500 0.000
Ba2 Ba 0.500 0.000 0.000
Ca1 Ca 0.000 0.000 0.000
Cd1 Cd 0.500 0.500 0.500
W1 W 0.000 0.000 0.500

Entry 8:
# BaCaZnCd, relaxed, DFT PBE-GGA
# **Calculated volume**: 31.33 Å³/atom
# **Calculated total energy**: -1.774 eV/atom
# **ΔE_f**: -0.246 eV/atom
# **Magnetization**: 0.00 μB per formula unit
data_BaCaZnCd
_chemical_formula_sum 'Ba1 Ca1 Zn1 Cd1'
_symmetry_space_group_name_H-M 'P 1'
_symmetry_Int_Tables_number 1
_cell_length_a 4.000
_cell_length_b 4.000
_cell_length_c 7.832
_cell_angle_alpha 90.00
_cell_angle_beta 90.00
_cell_angle_gamma 90.00
loop_
_symmetry_equiv_pos_as_xyz
'x,y,z'
loop_
_atom_site_label
_atom_site_type_symbol
_atom_site_fract_x
_atom_site_fract_y
_atom_site_fract_z
Ba1 Ba 0.000 0.000 0.000
Ca1 Ca 0.000 0.000 0.480
Zn1 Zn 0.500 0.500 0.279
Cd1 Cd 0.500 0.500 0.703

Entry 9:
# Ba2CaCe, relaxed, DFT PBE-GGA
# **Calculated volume**: 46.92 Å³/atom
# **Calculated total energy**: -2.573 eV/atom
# **ΔE_f**: 0.373 eV/atom
# **Magnetization**: 1.91 μB per formula unit
data_Ba2CaCe
_chemical_formula_sum 'Ba2 Ca1 Ce1'
_symmetry_space_group_name_H-M 'P 1'
_symmetry_Int_Tables_number 1
_cell_length_a 14.394
_cell_length_b 14.394
_cell_length_c 14.394
_cell_angle_alpha 15.59
_cell_angle_beta 15.59
_cell_angle_gamma 15.59
loop_
_symmetry_equiv_pos_as_xyz
'x,y,z'
loop_
_atom_site_label
_atom_site_type_symbol
_atom_site_fract_x
_atom_site_fract_y
_atom_site_fract_z
Ba1 Ba 0.085 0.085 0.085
Ba2 Ba 0.915 0.915 0.915
Ca1 Ca 0.500 0.500 0.500
Ce1 Ce 0.000 0.000 0.000

Entry 10:
# BaCa2Ce, relaxed, DFT PBE-GGA
# **Calculated volume**: 41.96 Å³/atom
# **Calculated total energy**: -2.700 eV/atom
# **ΔE_f**: 0.265 eV/atom
# **Magnetization**: 1.76 μB per formula unit
data_BaCa2Ce
_chemical_formula_sum 'Ba1 Ca2 Ce1'
_symmetry_space_group_name_H-M 'P 1'
_symmetry_Int_Tables_number 1
_cell_length_a 13.761
_cell_length_b 13.761
_cell_length_c 13.761
_cell_angle_alpha 15.77
_cell_angle_beta 15.77
_cell_angle_gamma 15.77
loop_
_symmetry_equiv_pos_as_xyz
'x,y,z'
loop_
_atom_site_label
_atom_site_type_symbol
_atom_site_fract_x
_atom_site_fract_y
_atom_site_fract_z
Ba1 Ba 0.000 0.000 0.000
Ca1 Ca 0.091 0.091 0.091
Ca2 Ca 0.909 0.909 0.909
Ce1 Ce 0.500 0.500 0.500

Entry 11:
# BaCa2Ce, relaxed, DFT PBE-GGA
# **Calculated volume**: 44.02 Å³/atom
# **Calculated total energy**: -2.764 eV/atom
# **ΔE_f**: 0.201 eV/atom
# **Magnetization**: 2.37 μB per formula unit
data_BaCa2Ce
_chemical_formula_sum 'Ba1 Ca2 Ce1'
_symmetry_space_group_name_H-M 'P 1'
_symmetry_Int_Tables_number 1
_cell_length_a 3.930
_cell_length_b 3.930
_cell_length_c 11.399
_cell_angle_alpha 90.00
_cell_angle_beta 90.00
_cell_angle_gamma 90.00
loop_
_symmetry_equiv_pos_as_xyz
'x,y,z'
loop_
_atom_site_label
_atom_site_type_symbol
_atom_site_fract_x
_atom_site_fract_y
_atom_site_fract_z
Ba1 Ba 0.000 0.000 0.000
Ca1 Ca 0.500 0.500 0.278
Ca2 Ca 0.500 0.500 0.722
Ce1 Ce 0.000 0.000 0.500